No. 1
The following is a PBE calculation of Gd3Co4Ge13 after structural relaxation, from the Alexandria database.

Cell lengths 8.820, 8.820, 8.820 Å; angles 90.00, 90.00, 90.00 degrees
Site moments in Bohr magnetons follow the coordinates.
Sites, in units of the cell vectors:
Gd (0.500, 0.000, 0.750)  -6.94
Gd (0.000, 0.250, 0.500)  -6.94
Gd (0.750, 0.500, 0.000)  -6.94
Gd (0.500, 0.000, 0.250)  -6.94
Gd (0.000, 0.750, 0.500)  -6.94
Gd (0.250, 0.500, 0.000)  -6.94
Co (0.750, 0.250, 0.750)  0.02
Co (0.250, 0.750, 0.250)  0.02
Co (0.750, 0.750, 0.250)  0.02
Co (0.250, 0.250, 0.750)  0.02
Co (0.250, 0.750, 0.750)  0.02
Co (0.750, 0.250, 0.250)  0.02
Co (0.250, 0.250, 0.250)  0.02
Co (0.750, 0.750, 0.750)  0.02
Ge (0.500, 0.500, 0.500)  -0.01
Ge (0.000, 0.000, 0.000)  -0.01
Ge (0.653, 0.198, 0.500)  0.01
Ge (0.802, 0.500, 0.653)  0.01
Ge (0.500, 0.347, 0.802)  0.01
Ge (0.347, 0.802, 0.500)  0.01
Ge (0.198, 0.500, 0.347)  0.01
Ge (0.500, 0.653, 0.198)  0.01
Ge (0.653, 0.802, 0.500)  0.01
Ge (0.802, 0.500, 0.347)  0.01
Ge (0.347, 0.198, 0.500)  0.01
Ge (0.198, 0.500, 0.653)  0.01
Ge (0.500, 0.653, 0.802)  0.01
Ge (0.500, 0.347, 0.198)  0.01
Ge (0.153, 0.000, 0.698)  0.01
Ge (0.302, 0.153, 0.000)  0.01
Ge (0.000, 0.302, 0.847)  0.01
Ge (0.847, 0.000, 0.302)  0.01
Ge (0.698, 0.847, 0.000)  0.01
Ge (0.000, 0.698, 0.153)  0.01
Ge (0.153, 0.000, 0.302)  0.01
Ge (0.302, 0.847, 0.000)  0.01
Ge (0.847, 0.000, 0.698)  0.01
Ge (0.698, 0.153, 0.000)  0.01
Ge (0.000, 0.302, 0.153)  0.01
Ge (0.000, 0.698, 0.847)  0.01

Values from the calculation:
**Magnetization**: 21.0 μB per formula unit
**Symmetry**: Pm-3n
**Volume**: 343.1 Å³/f.u.
**E_form**: -0.422 eV per atom
**Uncorrected energy**: -6.96 eV/atom
**D(E_F)**: 15.4 states/eV/cell

No. 2
The following is a PBE calculation of GdCoGe after structural relaxation, from the Alexandria database.

Cell lengths 3.846, 4.131, 4.131 Å; angles 120.00, 90.00, 90.00 degrees
Site moments in Bohr magnetons follow the coordinates.
Sites, in units of the cell vectors:
Ge (0.167, 0.333, 0.667)  0.03
Gd (0.667, 0.667, 0.333)  -6.97
Co (0.167, 0.000, 0.000)  0.28

Values from the calculation:
**Magnetization**: 6.8 μB per formula unit
**Symmetry**: P-6m2
**Volume**: 56.8 Å³/f.u.
**E_form**: -0.565 eV per atom
**Uncorrected energy**: -9.17 eV/atom
**D(E_F)**: 3.2 states/eV/cell

Question: Which value of D(E_F) does entry 2 give?
Answer: 3.2 states/eV/cell